Entry 1:
The following is a GGA-PBE calculation of an optimized crystal structure of DyBeGa, from OQMD.

abc: 4.3151 4.3151 4.3151
angles: 60.00 60.00 60.00
With the nearest neighbours (Å) after each atom.
Positions (direct):
Be (0.0000, 0.0000, 0.0000)  4 Dy 2.64, 4 Ga 2.64
Dy (0.2500, 0.2500, 0.2500)  4 Be 2.64
Ga (0.7500, 0.7500, 0.7500)  4 Be 2.64

Summary:
Size of the total moment in μB/f.u.: 0.00
Symmetry: F-43m (216)
Energy above the most stable polymorph in this dataset in meV per atom: 0

***

Entry 2:
The following is a GGA-PBE calculation of an optimized crystal structure of Sr2Ta, from OQMD.

abc: 6.6579 6.6579 6.6579
angles: 60.00 60.00 60.00
With the nearest neighbours (Å) after each atom.
Positions (direct):
Sr (0.1250, 0.1250, 0.1250)  6 Sr 3.33
Sr (0.6250, 0.1250, 0.1250)  6 Sr 3.33
Sr (0.1250, 0.6250, 0.1250)  6 Sr 3.33
Sr (0.1250, 0.1250, 0.6250)  6 Sr 3.33
Ta (0.5000, 0.5000, 0.5000)  12 Sr 3.90, 4 Ta 4.08
Ta (0.7500, 0.7500, 0.7500)  12 Sr 3.90, 4 Ta 4.08

Summary:
Size of the total moment in μB/f.u.: 3.86
Symmetry: Fd-3m (227)
Energy above the most stable polymorph in this dataset in meV per atom: 0

***

Entry 3:
The following is a GGA-PBE calculation of an optimized crystal structure of ScCoSbAu, from OQMD.

abc: 4.7119 4.7119 4.7119
angles: 60.00 60.00 60.00
With the nearest neighbours (Å) after each atom.
Positions (direct):
Au (0.7500, 0.7500, 0.7500)  4 Sb 2.89, 4 Co 2.89
Co (0.0000, 0.0000, 0.0000)  4 Sc 2.89, 4 Au 2.89
Sb (0.5000, 0.5000, 0.5000)  4 Au 2.89, 4 Sc 2.89
Sc (0.2500, 0.2500, 0.2500)  4 Co 2.89, 4 Sb 2.89

Summary:
Size of the total moment in μB/f.u.: 0.82
Symmetry: F-43m (216)
Energy above the most stable polymorph in this dataset in meV per atom: 229

***

Entry 4:
The following is a GGA-PBE calculation of an optimized crystal structure of TlZnCuMo, from OQMD.

abc: 4.5688 4.5688 4.5688
angles: 60.00 60.00 60.00
With the nearest neighbours (Å) after each atom.
Positions (direct):
Cu (0.7500, 0.7500, 0.7500)  4 Tl 2.80, 4 Zn 2.80
Mo (0.2500, 0.2500, 0.2500)  4 Tl 2.80, 4 Zn 2.80
Tl (0.0000, 0.0000, 0.0000)  4 Mo 2.80, 4 Cu 2.80
Zn (0.5000, 0.5000, 0.5000)  4 Cu 2.80, 4 Mo 2.80

Summary:
Size of the total moment in μB/f.u.: 1.78
Symmetry: F-43m (216)
Energy above the most stable polymorph in this dataset in meV per atom: 0

***

Entry 5:
The following is a GGA-PBE calculation of an optimized crystal structure of Cu2SiHgSe3S, from OQMD.

abc: 5.7315 5.7315 6.7133
angles: 114.76 114.76 90.13
With the nearest neighbours (Å) after each atom.
Positions (direct):
Cu (0.7341, 0.2601, 0.4890)  1 S 2.29, 3 Se 2.44-2.45
Cu (0.2601, 0.7341, 0.4890)  1 S 2.29, 3 Se 2.44-2.45
Hg (0.0055, 0.0055, 0.0018)  1 S 2.66, 3 Se 2.69-2.73
S (0.4119, 0.4119, 0.2619)  1 Si 2.17, 2 Cu 2.29
Se (0.8555, 0.8555, 0.2741)  1 Si 2.33, 2 Cu 2.45
Se (0.5876, 0.1468, 0.7364)  1 Si 2.33, 2 Cu 2.44
Se (0.1468, 0.5876, 0.7364)  1 Si 2.33, 2 Cu 2.44
Si (0.4986, 0.4986, 0.0113)  1 S 2.17, 3 Se 2.33

Summary:
Symmetry: Cm (8)

***

Entry 6:
The following is a GGA-PBE calculation of an optimized crystal structure of NdBr2Cl, from OQMD.

abc: 6.9924 6.9924 9.1611
angles: 90.00 90.00 146.10
With the nearest neighbours (Å) after each atom.
Positions (direct):
Br (0.3532, 0.6468, 0.0653)  3 Nd 3.05-3.15, 1 Br 3.38
Br (0.3532, 0.6468, 0.4347)  3 Nd 3.05-3.15, 1 Br 3.38
Br (0.6468, 0.3532, 0.5653)  3 Nd 3.05-3.15, 1 Br 3.38
Br (0.6468, 0.3532, 0.9347)  3 Nd 3.05-3.15, 1 Br 3.38
Cl (0.1020, 0.8980, 0.2500)  2 Nd 2.75
Cl (0.8980, 0.1020, 0.7500)  2 Nd 2.75
Nd (0.7405, 0.2595, 0.2500)  2 Cl 2.75, 4 Br 3.05
Nd (0.2595, 0.7405, 0.7500)  2 Cl 2.75, 4 Br 3.05

Summary:
Size of the total moment in μB/f.u.: 0.00
Symmetry: Cmcm (63)
Energy above the most stable polymorph in this dataset in meV per atom: 0

***

Entry 7:
The following is a GGA-PBE calculation of an optimized crystal structure of MgTlCuPd, from OQMD.

abc: 4.6024 4.6024 4.6024
angles: 60.00 60.00 60.00
With the nearest neighbours (Å) after each atom.
Positions (direct):
Cu (0.7500, 0.7500, 0.7500)  4 Mg 2.82, 4 Tl 2.82
Mg (0.5000, 0.5000, 0.5000)  4 Cu 2.82, 4 Pd 2.82
Pd (0.2500, 0.2500, 0.2500)  4 Tl 2.82, 4 Mg 2.82
Tl (0.0000, 0.0000, 0.0000)  4 Pd 2.82, 4 Cu 2.82

Summary:
Symmetry: F-43m (216)
Energy above the most stable polymorph in this dataset in meV per atom: 0

***

Entry 8:
The following is a GGA-PBE calculation of an optimized crystal structure of CuAg4, from OQMD.

abc: 10.0252 10.0252 5.8783
angles: 98.68 98.68 16.78
With the nearest neighbours (Å) after each atom.
Positions (direct):
Ag (0.0000, 0.0000, 0.0000)  12 Ag 2.93-3.00
Ag (0.2064, 0.2064, 0.1214)  3 Cu 2.70-2.74, 8 Ag 2.81-2.93
Ag (0.3912, 0.3912, 0.2012)  2 Cu 2.83, 10 Ag 2.86-3.02
Ag (0.6045, 0.6045, 0.3103)  2 Cu 2.78, 10 Ag 2.85-3.02
Ag (0.0000, 0.0000, 0.5000)  12 Ag 2.90-2.95
Ag (0.3955, 0.3955, 0.6897)  2 Cu 2.78, 10 Ag 2.85-3.02
Ag (0.6088, 0.6088, 0.7988)  2 Cu 2.83, 10 Ag 2.86-3.02
Ag (0.7936, 0.7936, 0.8786)  3 Cu 2.70-2.74, 8 Ag 2.81-2.93
Cu (0.7958, 0.7958, 0.4137)  4 Cu 2.65-2.93, 7 Ag 2.70-2.83
Cu (0.2042, 0.2042, 0.5863)  4 Cu 2.65-2.93, 7 Ag 2.70-2.83

Summary:
Symmetry: C2/m (12)
Energy above the most stable polymorph in this dataset in meV per atom: 23
ΔH_f (0 K) in eV per atom: 0.048

***

Calculated total energy, -12.2, -10.1, -21.0, -15.7, -30.2, -18.0, -13.6, -14.8 eV per formula unit (same order as the records).
Calculated mass density, 7.1, 5.7, 9.5, 10.6, 5.8, 4.5, 9.6, 9.8 g cm⁻³ (same order as the records).